[1]
{"formula": "LiCuSb2", "functional": "PBE-GGA", "state": "relaxed", "relative_energy_ev_per_atom": 0.0432, "volume_a3_per_cell": 188, "e_form_raw_ev_per_atom": -0.069, "dos_ef_per_ev_atom": 0.212, "total_energy_ev_per_atom": -3.633, "magmom_total_mub_per_fu": 0.00, "cell": [[-4.048, -7.350, -2.042], [6.757, -2.382, -4.822], [2.387, -5.991, -1.430]], "species": ["Cu", "Sb", "Sb", "Sb", "Cu", "Li", "Sb", "Li"], "fractional_positions": [[0.000, 0.000, 0.000], [0.024, 0.625, 0.250], [0.875, 0.976, 0.750], [0.375, 0.274, 0.750], [0.750, 0.250, 0.500], [0.500, 0.500, 0.000], [0.726, 0.125, 0.250], [0.250, 0.750, 0.500]]}

***

[2]
{"formula": "Mg2NbZnBi", "functional": "PBE-GGA", "state": "relaxed", "e_form_ev_per_atom": 0.805, "volume_a3_per_cell": 170, "dos_ef_per_ev_atom": 0.558, "total_energy_ev_per_atom": -2.877, "magmom_total_mub_per_fu": 2.13, "cell": [[-4.530, -3.240, 0.659], [3.160, -4.370, 0.239], [0.389, 0.586, 5.564]], "species": ["Mg", "Bi", "Nb", "Mg", "Zn"], "fractional_positions": [[0.000, 0.000, 0.500], [0.000, 0.500, 0.000], [0.000, 0.000, 0.000], [0.500, 0.000, 0.000], [0.500, 0.500, 0.500]]}

***

[3]
{"formula": "Sm6SnBi2Te3", "functional": "PBE-GGA", "state": "relaxed", "volume_a3_per_cell": 387, "e_form_raw_ev_per_atom": -1.161, "dos_ef_per_ev_atom": 0.365, "total_energy_ev_per_atom": -5.287, "magmom_total_mub_per_fu": 0.00, "cell": [[4.505, 0.000, 0.000], [0.000, 8.978, 0.340], [-2.253, -2.568, 9.459]], "species": ["Bi", "Sm", "Te", "Sm", "Te", "Sm", "Sn", "Te", "Sm", "Sm", "Bi", "Sm"], "fractional_positions": [[0.833, 0.666, 0.666], [0.667, 0.582, 0.333], [0.500, 0.500, 0.000], [0.333, 0.418, 0.667], [0.832, 0.167, 0.663], [0.338, 0.919, 0.676], [0.500, 0.000, 0.000], [0.168, 0.833, 0.337], [0.662, 0.081, 0.324], [0.000, 0.760, 0.001], [0.167, 0.334, 0.334], [0.000, 0.240, 0.999]]}

***

[4]
{"formula": "CaLaPmLu", "functional": "PBE-GGA", "state": "relaxed", "e_form_ev_per_atom": 0.106, "volume_a3_per_cell": 141, "dos_ef_per_ev_atom": 1.429, "total_energy_ev_per_atom": -3.944, "magmom_total_mub_per_fu": 0.00, "cell": [[5.836, 0.000, 0.000], [2.918, 5.054, 0.000], [2.918, 1.685, 4.765]], "species": ["Pm", "La", "Lu", "Ca"], "fractional_positions": [[0.250, 0.250, 0.250], [0.750, 0.750, 0.750], [0.000, 0.000, 0.000], [0.500, 0.500, 0.500]]}